(1)
Compound: MgSb2AuN
Source: Alexandria
Functional: PBEsol
Structure: relaxed

Cell: 5.6652 5.6652 3.6707 Å, 90.00 90.00 90.00°
Closest atoms and distances in Å follow each position.
Space group P4/mmm (No. 123)
One atom of each set of equivalent atoms:
Mg 0.0000 0.0000 0.0000 x1  8 Sb 3.38, 2 Mg 3.67
Sb 0.0000 0.5000 0.5000 x2  2 Au 2.83
Au 0.5000 0.5000 0.5000 x1  2 N 1.84
N 0.5000 0.5000 0.0000 x1  2 Au 1.84

The density of states at the Fermi level is 3.2 states/eV per cell. For the calculated density, the calculation gives 6.7 g/cm3. For the formation energy without anion corrections, the calculation gives 0.69 eV/atom.

(2)
Compound: MgAuSe2N
Source: Alexandria
Functional: PBEsol
Structure: relaxed

Cell: 5.0204 5.0204 3.8588 Å, 90.00 90.00 90.00°
Closest atoms and distances in Å follow each position.
Space group P4/mmm (No. 123)
One atom of each set of equivalent atoms:
Mg 0.0000 0.0000 0.0000 x1  2 N 1.93
Au 0.5000 0.5000 0.5000 x1  8 Se 3.17
Se 0.0000 0.5000 0.0000 x2  2 Mg 2.51
N 0.0000 0.0000 0.5000 x1  2 Mg 1.93

The density of states at the Fermi level is 4.1 states/eV per cell. For the calculated density, the calculation gives 6.7 g/cm3. For the formation energy without anion corrections, the calculation gives 0.87 eV/atom.

(3)
Compound: Mg2ZrAuN
Source: Alexandria
Functional: PBEsol
Structure: relaxed

Cell: 5.8121 5.8121 5.0493 Å, 90.00 90.00 90.00°
Closest atoms and distances in Å follow each position.
Space group P4/mmm (No. 123)
One atom of each set of equivalent atoms:
Mg 0.0000 0.5000 0.0000 x2  2 Zr 2.91
Zr 0.0000 0.0000 0.0000 x1  2 Au 2.52
Au 0.0000 0.0000 0.5000 x1  2 Zr 2.52
N 0.5000 0.5000 0.5000 x1  8 Mg 3.85, 4 Au 4.11

The density of states at the Fermi level is 4.2 states/eV per cell. For the calculated density, the calculation gives 3.4 g/cm3. For the formation energy without anion corrections, the calculation gives 1.93 eV/atom.

- Which formula does entry 2 have?
  MgAuSe2N